Entry 1:
# BaCdGe3

A relaxed structure of BaCdGe3 (GGA-PBE, Alexandria).

```
BaCdGe3
1.0
5.2960 0.0000 0.0000
0.0000 5.2960 0.0000
0.0000 0.0000 5.2960
Ba Cd Ge
1 1 3
direct
0.0000 0.0000 0.0000 Ba
0.5000 0.5000 0.5000 Cd
0.0000 0.5000 0.5000 Ge
0.5000 0.0000 0.5000 Ge
0.5000 0.5000 0.0000 Ge
```

Computed properties:
Crystal system   cubic
Raw total energy   -0.11478 Ha/atom
Energy above the most stable polymorph in this dataset   0.00 eV per formula unit


Entry 2:
# BaCd4Ge2

A relaxed structure of BaCd4Ge2 (GGA-PBE, Alexandria).

```
BaCd4Ge2
1.0
2.2925 -8.2399 0.0000
2.2925 8.2399 0.0000
0.0000 0.0000 4.5861
Ba Cd Ge
1 4 2
direct
0.0000 0.0000 0.0000 Ba
0.1823 0.8177 0.5000 Cd
0.3130 0.6870 0.0000 Cd
0.6870 0.3130 0.0000 Cd
0.8177 0.1823 0.5000 Cd
0.4189 0.5811 0.5000 Ge
0.5811 0.4189 0.5000 Ge
```

Computed properties:
Crystal system   orthorhombic
Raw total energy   -0.08700 Ha/atom
Energy above the most stable polymorph in this dataset   0.00 eV per formula unit


Entry 3:
# Ba2Cd4Hg3Ge

A relaxed structure of Ba2Cd4Hg3Ge (GGA-PBE, Alexandria).

```
Ba2Cd4Hg3Ge
1.0
4.8235 0.0000 0.0000
0.0000 4.8235 0.0000
0.0000 0.0000 12.3934
Ba Cd Hg Ge
2 4 3 1
direct
0.0000 0.5000 0.2402 Ba
0.5000 0.0000 0.7598 Ba
0.0000 0.0000 0.5000 Cd
0.0000 0.5000 0.8749 Cd
0.5000 0.0000 0.1251 Cd
0.5000 0.5000 0.5000 Cd
0.0000 0.0000 0.0000 Hg
0.0000 0.5000 0.6425 Hg
0.5000 0.0000 0.3575 Hg
0.5000 0.5000 0.0000 Ge
```

Computed properties:
Crystal system   tetragonal
Raw total energy   -0.05919 Ha/atom


no.,density of states at the Fermi level (states/eV per atom)
1,0.72
2,0.25
3,0.50